K12Li3Hg5 | Alexandria | GGA-PBE | relaxed; energy of formation = 1.298 eV/f.u.; total energy = -0.956 eV per atom; mass density = 2.1 g/cm³; V = 4662.8 Å³ per cell
1.0
-10.524 10.524 10.524
10.524 -10.524 10.524
10.524 10.524 -10.524
K Li Hg
48 12 20
Direct
0.048 0.221 0.122
0.048 0.327 0.926
0.074 0.622 0.401
0.074 0.952 0.673
0.099 0.721 0.673
0.099 0.878 0.426
0.122 0.048 0.221
0.122 0.574 0.901
0.173 0.221 0.599
0.173 0.452 0.574
0.221 0.122 0.048
0.221 0.599 0.173
0.279 0.327 0.901
0.279 0.452 0.378
0.327 0.901 0.279
0.327 0.926 0.048
0.378 0.279 0.452
0.378 0.599 0.926
0.401 0.074 0.622
0.401 0.827 0.779
0.426 0.099 0.878
0.426 0.827 0.548
0.452 0.378 0.279
0.452 0.574 0.173
0.548 0.426 0.827
0.548 0.622 0.721
0.574 0.173 0.452
0.574 0.901 0.122
0.599 0.173 0.221
0.599 0.926 0.378
0.622 0.401 0.074
0.622 0.721 0.548
0.673 0.074 0.952
0.673 0.099 0.721
0.721 0.548 0.622
0.721 0.673 0.099
0.779 0.401 0.827
0.779 0.878 0.952
0.827 0.548 0.426
0.827 0.779 0.401
0.878 0.426 0.099
0.878 0.952 0.779
0.901 0.122 0.574
0.901 0.279 0.327
0.926 0.048 0.327
0.926 0.378 0.599
0.952 0.673 0.074
0.952 0.779 0.878
0.125 0.250 0.375
0.125 0.375 0.750
0.250 0.375 0.125
0.250 0.875 0.625
0.375 0.125 0.250
0.375 0.750 0.125
0.625 0.250 0.875
0.625 0.875 0.750
0.750 0.125 0.375
0.750 0.625 0.875
0.875 0.625 0.250
0.875 0.750 0.625
0.000 0.000 0.000
0.000 0.000 0.500
0.000 0.500 0.000
0.000 0.500 0.500
0.125 0.750 0.875
0.125 0.875 0.250
0.250 0.125 0.875
0.250 0.625 0.375
0.375 0.250 0.625
0.375 0.625 0.750
0.500 0.000 0.000
0.500 0.000 0.500
0.500 0.500 0.000
0.500 0.500 0.500
0.625 0.375 0.250
0.625 0.750 0.375
0.750 0.375 0.625
0.750 0.875 0.125
0.875 0.125 0.750
0.875 0.250 0.125

=====

K4LiHg | Alexandria | GGA-PBE | relaxed; energy of formation = 1.123 eV/f.u.; total energy = -0.914 eV per atom; mass density = 1.7 g/cm³; V = 354.8 Å³ per cell
1.0
0.000 5.619 5.619
5.619 0.000 5.619
5.619 5.619 0.000
K Li Hg
4 1 1
Direct
0.125 0.125 0.125
0.125 0.125 0.625
0.125 0.625 0.125
0.625 0.125 0.125
0.750 0.750 0.750
0.500 0.500 0.500

=====

K2LiHg | Alexandria | GGA-PBE | relaxed; energy of formation = -0.094 eV/f.u.; total energy = -1.126 eV per atom; mass density = 3.0 g/cm³; V = 160.3 Å³ per cell
1.0
4.151 -4.124 0.000
4.151 4.124 0.000
-0.016 0.000 4.682
K Li Hg
2 1 1
Direct
0.000 0.500 0.000
0.500 0.000 0.000
0.000 0.000 0.500
0.500 0.500 0.500